Entry 1:
## Sm2YMg2 (PBE-GGA)

Data for a geometry-optimized Sm2YMg2 structure.

Output
V   29.289 A^3/atom
Energy of formation   -0.079 eV per atom
Energy above the lowest structure with this stoichiometry   0.0000 eV per atom

Unit cell a=3.804 b=28.174 c=5.465 alpha=90.00 beta=90.00 gamma=90.00
Space group Cmcm (No. 63)
Inequivalent atoms, fractional coordinates:
1 Sm 0.000 0.044 0.250
2 Sm 0.000 0.237 0.250
3 Y 0.000 0.150 0.750
4 Mg 0.000 0.360 0.750
5 Mg 0.000 0.446 0.250

Entry 2:
## AcLuPuSn (PBE-GGA)

Data for a geometry-optimized AcLuPuSn structure.

Output
V   29.449 A^3/atom
Energy of formation   -0.016 eV per atom

Unit cell a=7.782 b=7.782 c=7.782 alpha=90.00 beta=90.00 gamma=90.00
Space group F-43m (No. 216)
Inequivalent atoms, fractional coordinates:
1 Ac 0.000 0.000 0.000
2 Lu 0.250 0.250 0.750
3 Pu 0.250 0.250 0.250
4 Sn 0.000 0.000 0.500

Entry 3:
## TlH7Rh2 (PBE-GGA)

Data for a geometry-optimized TlH7Rh2 structure.

Output
V   9.016 A^3/atom
E   -3.998 eV/atom

Unit cell a=5.688 b=9.076 c=3.493 alpha=90.00 beta=90.00 gamma=90.00
Space group Cmmm (No. 65)
Inequivalent atoms, fractional coordinates:
1 Tl 0.000 0.000 0.000
2 H 0.000 0.328 0.000
3 H 0.000 0.500 0.500
4 H 0.209 0.153 0.500
5 Rh 0.000 0.305 0.500